The following is a PBE calculation of an optimized crystal structure of KSrBe3, from Alexandria.

It has space group Pm-3m (No. 221), with a = 5.8178 Å, b = 5.8178 Å, c = 5.8178 Å, α = 90.00°, β = 90.00° and γ = 90.00°. The inequivalent atoms are K at (0.0000, 0.0000, 0.0000), Sr at (0.5000, 0.5000, 0.5000) and Be at (0.0000, 0.5000, 0.5000).

Its crystal system is cubic. The excess energy over the best structure of this formula in the dataset comes out at 0.0 meV/atom. The density of states at the Fermi level is 0.9567 states/eV/atom.